DFT (GGA-PBE) results for crystalline Sc2Ga2Si at its relaxed geometry.

Results
formation energy (no corrections)	-0.531	eV per atom
energy above the lowest structure with this stoichiometry	0.000	eV per atom

a = 6.6035 Å, b = 6.6035 Å, c = 4.1771 Å
α = 90.00°, β = 90.00°, γ = 90.00°
Space group P4/mbm (No. 127)
Inequivalent atoms, fractional coordinates:
Sc (0.1720, 0.3280, 0.0000)
Ga (0.1323, 0.6323, 0.5000)
Si (0.0000, 0.0000, 0.5000)